Here is an optimized crystal structure of Th2CdCoCu from Alexandria via LeMat-Bulk. Energies are from GGA-PBE.

Output
Its volume is 113 Å³/f.u. The calculation puts the formation energy at -0.95 eV per formula unit. The value obtained for the total energy is -0.410 Ry per atom.

Lattice parameters (Å, degrees): 3.9329 7.6261 9.2258 124.96 90.00 90.00
Closest atoms and distances in Å follow each position.
Atoms (fractional coordinates):
Th: 0.7500 0.7292 0.6797  3 Co 2.82-3.03, 2 Cu 3.02
Th: 0.2500 0.2367 0.9150  3 Co 2.74-2.93, 1 Cu 3.03
Th: 0.2500 0.2708 0.3203  3 Co 2.82-3.03, 2 Cu 3.02
Th: 0.7500 0.7633 0.0850  3 Co 2.74-2.93, 1 Cu 3.03
Co: 0.2500 0.8742 0.9444  1 Cu 2.44, 2 Co 2.52
Co: 0.7500 0.1258 0.0556  1 Cu 2.44, 2 Co 2.52
Cu: 0.2500 0.4839 0.7490  1 Co 2.44
Cu: 0.7500 0.5161 0.2510  1 Co 2.44
Cd: 0.7500 0.1760 0.5771  2 Cu 2.76, 2 Cd 2.95
Cd: 0.2500 0.8240 0.4229  2 Cu 2.76, 2 Cd 2.95

***

Here is an optimized crystal structure of PmNdSiAu from Alexandria via LeMat-Bulk. Energies are from GGA-PBE.

Output
Its volume is 99 Å³/f.u. The calculation puts the formation energy (no corrections) at -621 meV per atom. The value obtained for the total energy is -0.380 Ry per atom.

Lattice parameters (Å, degrees): 5.2005 5.2005 5.2005 60.00 60.00 60.00
Closest atoms and distances in Å follow each position.
Atoms (fractional coordinates):
Pm: 0.7500 0.7500 0.7500  4 Si 3.18, 4 Au 3.18
Nd: 0.2500 0.2500 0.2500  4 Si 3.18, 4 Au 3.18
Si: 0.5000 0.5000 0.5000  4 Nd 3.18, 4 Pm 3.18
Au: 0.0000 0.0000 0.0000  4 Nd 3.18, 4 Pm 3.18